Crystalline K2AcErTe4 at its relaxed geometry, computed with PBE.

abc: 4.6580 8.0880 8.6921
angles: 108.00 90.00 90.00
Fractional coordinates of all 8 atoms:
K1 0.5000 0.0000 0.5000
K2 0.0000 0.5000 0.5000
Te1 0.0000 0.7587 0.2185
Ac1 0.5000 0.5000 0.0000
Te2 0.5000 0.7808 0.7909
Er1 0.0000 0.0000 0.0000
Te3 0.0000 0.2413 0.7815
Te4 0.5000 0.2192 0.2091

Results
The symmetry is P2/m. The value obtained for the uncorrected formation energy is -11.4 eV/f.u.

---

Crystalline TmZrHg at its relaxed geometry, computed with PBE.

abc: 3.3996 3.3996 6.7526
angles: 104.58 104.58 90.00
Fractional coordinates of all 3 atoms:
Zr1 0.0061 0.0061 0.0122
Tm1 0.3316 0.3316 0.6632
Hg1 0.6623 0.6623 0.3246

Results
The symmetry is I4mm. For the formation enthalpy at 0 K, the calculation gives -0.22 eV per atom. The calculation puts the energy relative to the lowest polymorph listed for this composition at 0.00 eV/f.u.

---

Crystalline LiCdMo at its relaxed geometry, computed with PBE.

abc: 7.4267 7.3168 2.7083
angles: 81.71 77.14 21.15
Fractional coordinates of all 3 atoms:
Mo1 0.6709 0.6709 0.3291
Cd1 0.9983 0.9983 0.0017
Li1 0.3308 0.3308 0.6692

Results
The symmetry is Fmm2. For the formation enthalpy at 0 K, the calculation gives 0.29 eV per atom. The calculation puts the energy relative to the lowest polymorph listed for this composition at 0.00 eV/f.u.

---

Crystalline LaTbIn2Te4 at its relaxed geometry, computed with PBE.

abc: 4.5228 8.5112 7.8438
angles: 72.20 90.00 90.00
Fractional coordinates of all 8 atoms:
Tb1 0.0000 0.5000 0.5000
Te1 0.5000 0.7212 0.2693
In1 0.5000 0.0000 0.5000
Te2 0.0000 0.7259 0.7480
Te3 0.0000 0.2741 0.2520
La1 0.5000 0.5000 0.0000
Te4 0.5000 0.2788 0.7307
In2 0.0000 0.0000 0.0000

Results
The symmetry is P2/m. The value obtained for the uncorrected formation energy is -8.1 eV/f.u.

---

Crystalline ErTmTlRh at its relaxed geometry, computed with PBE.

abc: 5.0574 5.0574 5.0574
angles: 60.00 60.00 60.00
Fractional coordinates of all 4 atoms:
Tl1 0.5000 0.5000 0.5000
Tm1 0.7500 0.7500 0.7500
Er1 0.2500 0.2500 0.2500
Rh1 0.0000 0.0000 0.0000

Results
The symmetry is F-43m. For the formation enthalpy at 0 K, the calculation gives -0.52 eV per atom. The calculation puts the energy relative to the lowest polymorph listed for this composition at 0.50 eV/f.u.

---

Crystalline LiSbIr at its relaxed geometry, computed with PBE.

abc: 3.0792 3.0792 6.6444
angles: 90.00 90.00 120.00
Fractional coordinates of all 3 atoms:
Sb1 0.3333 0.6667 0.6913
Li1 0.6667 0.3333 0.3080
Ir1 0.0000 0.0000 0.0007

Results
The symmetry is P3m1. The value obtained for the uncorrected formation energy is 0.2 eV/f.u.

---

Crystalline ReMo at its relaxed geometry, computed with PBE.

abc: 2.7875 9.5525 2.7875
angles: 90.00 120.00 90.00
Fractional coordinates of all 4 atoms:
Re1 0.3333 0.8205 0.6667
Mo1 0.3333 0.5505 0.6667
Re2 0.6667 0.3205 0.3333
Mo2 0.6667 0.0505 0.3333

Results
The symmetry is P6_3mc. For the formation enthalpy at 0 K, the calculation gives 0.65 eV per atom. The calculation puts the energy relative to the lowest polymorph listed for this composition at 1.12 eV/f.u.

---

Crystalline AgC3 at its relaxed geometry, computed with PBE.

abc: 4.0076 4.0076 4.0076
angles: 125.88 125.88 80.08
Fractional coordinates of all 4 atoms:
C1 0.7500 0.2500 0.5000
Ag1 0.0000 0.0000 0.0000
C2 0.2500 0.7500 0.5000
C3 0.5000 0.5000 0.0000

Results
The symmetry is I4/mmm. For the formation enthalpy at 0 K, the calculation gives 3.58 eV per atom. The calculation puts the energy relative to the lowest polymorph listed for this composition at 10.47 eV/f.u.

---

What did the third record say?
Crystalline LiCdMo at its relaxed geometry, computed with PBE.

abc: 7.4267 7.3168 2.7083
angles: 81.71 77.14 21.15
Fractional coordinates of all 3 atoms:
Mo1 0.6709 0.6709 0.3291
Cd1 0.9983 0.9983 0.0017
Li1 0.3308 0.3308 0.6692

Results
The symmetry is Fmm2. For the formation enthalpy at 0 K, the calculation gives 0.29 eV per atom. The calculation puts the energy relative to the lowest polymorph listed for this composition at 0.00 eV/f.u.